## P
Here is a geometry-optimized Nd13Ho3 structure from Alexandria via LeMat-Bulk. Energies are from PBE.

Cell: 7.3008 7.3008 10.3256 Å, 90.00 90.00 90.05°
With the nearest neighbours (Å) after each atom.
Fractional coordinates of all 16 atoms:
Nd: 0.5011 0.4989 0.7509  11 Nd 3.63-3.68, 1 Ho 3.65
Nd: 0.2480 0.2477 0.5000  10 Nd 3.62-3.68, 2 Ho 3.65
Nd: 0.5011 0.4989 0.2491  11 Nd 3.63-3.68, 1 Ho 3.65
Nd: 0.7523 0.7520 0.5000  10 Nd 3.62-3.68, 2 Ho 3.65
Ho: 0.7521 0.2479 0.0000  2 Ho 3.61, 10 Nd 3.62-3.68
Nd: 0.9989 0.4990 0.7515  3 Ho 3.63-3.67, 9 Nd 3.63-3.67
Ho: 0.9988 0.0012 0.2483  1 Ho 3.61, 11 Nd 3.62-3.67
Nd: 0.7520 0.7521 0.0000  4 Ho 3.62-3.68, 8 Nd 3.62-3.68
Ho: 0.9988 0.0012 0.7517  1 Ho 3.61, 11 Nd 3.62-3.67
Nd: 0.2478 0.7522 0.5000  10 Nd 3.62-3.68, 2 Ho 3.66
Nd: 0.9989 0.4990 0.2485  3 Ho 3.63-3.67, 9 Nd 3.63-3.67
Nd: 0.2481 0.7519 0.0000  10 Nd 3.62-3.68, 2 Ho 3.63
Nd: 0.2479 0.2480 0.0000  4 Ho 3.62-3.68, 8 Nd 3.62-3.68
Nd: 0.7523 0.2477 0.5000  10 Nd 3.62-3.68, 2 Ho 3.64
Nd: 0.5010 0.0011 0.2485  3 Ho 3.63-3.67, 9 Nd 3.63-3.67
Nd: 0.5010 0.0011 0.7515  3 Ho 3.63-3.67, 9 Nd 3.63-3.67

=====

## Q
Here is a geometry-optimized Nd13Ho3 structure from Alexandria via LeMat-Bulk. Energies are from PBE.

Cell: 7.3778 8.6941 8.6941 Å, 94.53 90.00 90.00°
With the nearest neighbours (Å) after each atom.
Fractional coordinates of all 16 atoms:
Ho: 0.0000 0.2896 0.7104  10 Nd 3.60-3.70, 2 Ho 3.64
Nd: 0.5000 0.2054 0.2875  10 Nd 3.60-3.70, 2 Ho 3.61
Nd: 0.7505 0.5404 0.4596  11 Nd 3.65-3.72, 1 Ho 3.70
Nd: 0.5000 0.7125 0.7946  10 Nd 3.60-3.70, 2 Ho 3.61
Ho: 0.2492 0.0432 0.9568  9 Nd 3.60-3.70, 3 Ho 3.64-3.70
Ho: 0.7508 0.0432 0.9568  9 Nd 3.60-3.70, 3 Ho 3.64-3.70
Nd: 0.5000 0.2901 0.7099  8 Nd 3.61-3.69, 4 Ho 3.66-3.69
Nd: 0.0000 0.2063 0.2901  9 Nd 3.61-3.69, 3 Ho 3.62-3.67
Nd: 0.7515 0.4555 0.0387  2 Ho 3.60, 10 Nd 3.61-3.71
Nd: 0.2485 0.9613 0.5445  2 Ho 3.60, 10 Nd 3.61-3.71
Nd: 0.5000 0.7922 0.2078  10 Nd 3.60-3.71, 2 Ho 3.70
Nd: 0.0000 0.7932 0.2068  10 Nd 3.61-3.72, 2 Ho 3.68
Nd: 0.7515 0.9613 0.5445  2 Ho 3.60, 10 Nd 3.61-3.71
Nd: 0.0000 0.7099 0.7937  9 Nd 3.61-3.69, 3 Ho 3.62-3.67
Nd: 0.2485 0.4555 0.0387  2 Ho 3.60, 10 Nd 3.61-3.71
Nd: 0.2495 0.5404 0.4596  11 Nd 3.65-3.72, 1 Ho 3.70

=====

In terms of stability, P leads; the second structure lies 18 meV/atom higher.

=====

## P
Here is a geometry-optimized Nd4Ho3 structure from Alexandria via LeMat-Bulk. Energies are from PBE.

Cell: 3.5190 8.8479 9.2831 Å, 122.81 100.93 90.00°
With the nearest neighbours (Å) after each atom.
Fractional coordinates of all 7 atoms:
Nd: 0.6388 0.8707 0.2777  8 Nd 3.52-3.82, 5 Ho 3.61-3.74
Nd: 0.9204 0.5464 0.8408  7 Nd 3.43-3.82, 4 Ho 3.43-3.52
Nd: 0.3612 0.1293 0.7223  8 Nd 3.52-3.82, 5 Ho 3.61-3.74
Ho: 0.2206 0.2977 0.4412  5 Ho 3.38-3.58, 6 Nd 3.52-3.66
Nd: 0.0796 0.4536 0.1592  7 Nd 3.43-3.82, 4 Ho 3.43-3.52
Ho: 0.7794 0.7023 0.5588  5 Ho 3.38-3.58, 6 Nd 3.52-3.66
Ho: 0.0000 0.0000 0.0000  4 Ho 3.38-3.52, 6 Nd 3.43-3.74

=====

## Q
Here is a geometry-optimized Nd4Ho3 structure from Alexandria via LeMat-Bulk. Energies are from PBE.

Cell: 5.1120 8.1076 6.2407 Å, 97.41 114.18 90.00°
With the nearest neighbours (Å) after each atom.
Fractional coordinates of all 7 atoms:
Nd: 0.2858 0.8588 0.5716  7 Ho 3.60-3.62, 5 Nd 3.60-3.65
Nd: 0.1422 0.4265 0.2843  6 Ho 3.60-3.63, 6 Nd 3.60-3.65
Ho: 0.0000 0.0000 0.0000  8 Nd 3.60-3.61, 4 Ho 3.62
Nd: 0.7142 0.1412 0.4284  7 Ho 3.60-3.62, 5 Nd 3.60-3.65
Nd: 0.8578 0.5735 0.7157  6 Ho 3.60-3.63, 6 Nd 3.60-3.65
Ho: 0.5709 0.7141 0.1418  9 Nd 3.60-3.63, 3 Ho 3.62
Ho: 0.4291 0.2859 0.8582  9 Nd 3.60-3.63, 3 Ho 3.62

=====

In terms of stability, Q leads; the second structure lies 113 meV/atom higher.

=====

## P
Here is a geometry-optimized Nd3Ho structure from Alexandria via LeMat-Bulk. Energies are from PBE.

Cell: 5.1486 5.1486 5.1486 Å, 90.00 90.00 90.00°
With the nearest neighbours (Å) after each atom.
Fractional coordinates of all 4 atoms:
Nd: 0.0000 0.5000 0.5000  4 Ho 3.64, 8 Nd 3.64
Nd: 0.5000 0.5000 0.0000  8 Nd 3.64, 4 Ho 3.64
Ho: 0.0000 0.0000 0.0000  12 Nd 3.64
Nd: 0.5000 0.0000 0.5000  8 Nd 3.64, 4 Ho 3.64

=====

## Q
Here is a geometry-optimized Nd3Ho structure from Alexandria via LeMat-Bulk. Energies are from PBE.

Cell: 3.6821 5.8884 6.3599 Å, 90.00 90.00 90.00°
With the nearest neighbours (Å) after each atom.
Fractional coordinates of all 4 atoms:
Nd: 0.5000 0.0000 0.4995  8 Nd 3.63-3.68, 4 Ho 3.67-3.68
Ho: 0.0000 0.0000 0.0006  10 Nd 3.63-3.68, 2 Ho 3.68
Nd: 0.5000 0.5000 0.8331  8 Nd 3.63-3.68, 4 Ho 3.63
Nd: 0.0000 0.5000 0.3334  2 Ho 3.63, 10 Nd 3.63-3.68

=====

## R
Here is a geometry-optimized Nd3Ho structure from Alexandria via LeMat-Bulk. Energies are from PBE.

Cell: 5.7908 5.7908 5.7908 Å, 60.00 60.00 60.00°
With the nearest neighbours (Å) after each atom.
Fractional coordinates of all 4 atoms:
Nd: 0.7500 0.7500 0.7500  4 Nd 3.55, 4 Ho 3.55
Ho: 0.5000 0.5000 0.5000  8 Nd 3.55
Nd: 0.0000 0.0000 0.0000  8 Nd 3.55
Nd: 0.2500 0.2500 0.2500  4 Nd 3.55, 4 Ho 3.55

=====

In terms of stability, P leads; the second structure lies 18 meV/atom higher.

=====

## P
Here is a geometry-optimized Nd6Ho structure from Alexandria via LeMat-Bulk. Energies are from PBE.

Cell: 7.0998 7.0998 7.0998 Å, 109.47 109.47 109.47°
With the nearest neighbours (Å) after each atom.
Fractional coordinates of all 7 atoms:
Ho: 0.0000 0.0000 0.0000  24 Nd 4.58
Nd: 0.5000 0.2500 0.7500  4 Nd 2.90
Nd: 0.7500 0.5000 0.2500  4 Nd 2.90
Nd: 0.7500 0.2500 0.5000  4 Nd 2.90
Nd: 0.2500 0.7500 0.5000  4 Nd 2.90
Nd: 0.2500 0.5000 0.7500  4 Nd 2.90
Nd: 0.5000 0.7500 0.2500  4 Nd 2.90

=====

## Q
Here is a geometry-optimized Nd6Ho structure from Alexandria via LeMat-Bulk. Energies are from PBE.

Cell: 6.6263 6.6263 11.3623 Å, 90.00 90.00 90.00°
With the nearest neighbours (Å) after each atom.
Fractional coordinates of all 14 atoms:
Nd: 0.1684 0.3316 0.3604  6 Nd 3.16-3.52
Nd: 0.1684 0.6684 0.6396  6 Nd 3.16-3.52
Nd: 0.3316 0.1684 0.6396  6 Nd 3.16-3.52
Nd: 0.5000 0.5000 0.8632  1 Nd 3.11
Ho: 0.0000 0.5000 0.0000  8 Nd 3.66
Nd: 0.6684 0.1684 0.3604  6 Nd 3.16-3.52
Ho: 0.5000 0.0000 0.0000  8 Nd 3.66
Nd: 0.0000 0.0000 0.1368  1 Nd 3.11
Nd: 0.5000 0.5000 0.1368  1 Nd 3.11
Nd: 0.8316 0.3316 0.6396  6 Nd 3.16-3.52
Nd: 0.6684 0.8316 0.6396  6 Nd 3.16-3.52
Nd: 0.8316 0.6684 0.3604  6 Nd 3.16-3.52
Nd: 0.0000 0.0000 0.8632  1 Nd 3.11
Nd: 0.3316 0.8316 0.3604  6 Nd 3.16-3.52

=====

In terms of stability, Q leads; the second structure lies 1020 meV/atom higher.

=====

## P
Here is a geometry-optimized Nd2Ho structure from Alexandria via LeMat-Bulk. Energies are from PBE.

Cell: 6.6774 6.6774 6.6774 Å, 60.00 60.00 60.00°
With the nearest neighbours (Å) after each atom.
Fractional coordinates of all 6 atoms:
Ho: 0.0000 0.0000 0.0000  12 Nd 3.91, 4 Ho 4.09
Nd: 0.6250 0.6250 0.1250  6 Nd 3.34
Nd: 0.6250 0.6250 0.6250  6 Nd 3.34
Nd: 0.1250 0.6250 0.6250  6 Nd 3.34
Ho: 0.2500 0.2500 0.2500  12 Nd 3.91, 4 Ho 4.09
Nd: 0.6250 0.1250 0.6250  6 Nd 3.34

=====

## Q
Here is a geometry-optimized Nd2Ho structure from Alexandria via LeMat-Bulk. Energies are from PBE.

Cell: 3.6359 3.6359 8.1086 Å, 102.96 102.96 90.00°
With the nearest neighbours (Å) after each atom.
Fractional coordinates of all 3 atoms:
Nd: 0.3354 0.3354 0.6708  4 Ho 3.61, 8 Nd 3.64-3.68
Nd: 0.6646 0.6646 0.3292  4 Ho 3.61, 8 Nd 3.64-3.68
Ho: 0.0000 0.0000 0.0000  8 Nd 3.61, 4 Ho 3.64

=====

## R
Here is a geometry-optimized Nd2Ho structure from Alexandria via LeMat-Bulk. Energies are from PBE.

Cell: 3.6797 8.6422 6.8938 Å, 103.46 105.48 90.00°
With the nearest neighbours (Å) after each atom.
Fractional coordinates of all 6 atoms:
Nd: 0.0295 0.2982 0.0591  4 Ho 3.58-3.64, 8 Nd 3.59-3.75
Nd: 0.9705 0.7018 0.9409  4 Ho 3.58-3.64, 8 Nd 3.59-3.75
Ho: 0.6400 0.0248 0.2800  7 Nd 3.56-3.68, 5 Ho 3.57-3.68
Nd: 0.3067 0.3591 0.6133  3 Ho 3.56-3.68, 9 Nd 3.59-3.71
Ho: 0.3600 0.9752 0.7200  7 Nd 3.56-3.68, 5 Ho 3.57-3.68
Nd: 0.6933 0.6409 0.3867  3 Ho 3.56-3.68, 9 Nd 3.59-3.71

=====

In terms of stability, Q leads; the second structure lies 6 meV/atom higher.

=====

## P
Here is a geometry-optimized NdHo2Ni structure from Alexandria via LeMat-Bulk. Energies are from PBE.

Cell: 3.7325 3.7325 9.5591 Å, 78.74 78.74 60.00°
With the nearest neighbours (Å) after each atom.
Fractional coordinates of all 4 atoms:
Ho: 0.7248 0.7248 0.8257  3 Ni 2.70
Nd: 0.5000 0.5000 0.5000  6 Ho 3.72, 6 Nd 3.73
Ho: 0.2752 0.2752 0.1743  3 Ni 2.70
Ni: 0.0000 0.0000 0.0000  6 Ho 2.70

=====

## Q
Here is a geometry-optimized NdHo2Ni structure from Alexandria via LeMat-Bulk. Energies are from PBE.

Cell: 4.8154 6.4178 7.3165 Å, 90.00 90.00 112.01°
With the nearest neighbours (Å) after each atom.
Fractional coordinates of all 8 atoms:
Ho: 0.3456 0.6911 0.9704  3 Ni 2.72-2.94
Nd: 0.9618 0.9240 0.2500  1 Ni 2.77
Ho: 0.6544 0.3089 0.0296  3 Ni 2.72-2.94
Ni: 0.1949 0.3902 0.2500  6 Ho 2.72-2.94, 1 Nd 2.77
Ho: 0.6544 0.3089 0.4704  3 Ni 2.72-2.94
Ho: 0.3456 0.6911 0.5296  3 Ni 2.72-2.94
Ni: 0.8051 0.6098 0.7500  6 Ho 2.72-2.94, 1 Nd 2.77
Nd: 0.0382 0.0760 0.7500  1 Ni 2.77

=====

In terms of stability, Q leads; the second structure lies 97 meV/atom higher.

=====

## P
Here is a geometry-optimized NdHo2Ni structure from Alexandria via LeMat-Bulk. Energies are from PBE.

Cell: 3.8270 3.8270 9.1943 Å, 77.99 77.99 60.00°
With the nearest neighbours (Å) after each atom.
Fractional coordinates of all 4 atoms:
Ho: 0.2756 0.2756 0.1732  3 Ni 2.68
Nd: 0.5020 0.5020 0.4940  6 Ho 3.62-3.72, 6 Nd 3.83
Ni: 0.6655 0.6655 0.0034  6 Ho 2.68-2.70
Ho: 0.0569 0.0569 0.8293  3 Ni 2.70

=====

## Q
Here is a geometry-optimized NdHo2Ni structure from Alexandria via LeMat-Bulk. Energies are from PBE.

Cell: 3.4358 3.4358 8.8143 Å, 90.00 90.00 90.00°
With the nearest neighbours (Å) after each atom.
Fractional coordinates of all 4 atoms:
Ni: 0.5000 0.5000 0.0000  8 Ho 2.91
Nd: 0.5000 0.5000 0.5000  4 Nd 3.44, 8 Ho 3.71
Ho: 0.0000 0.0000 0.8186  4 Ni 2.91, 1 Ho 3.20
Ho: 0.0000 0.0000 0.1814  4 Ni 2.91, 1 Ho 3.20

=====

In terms of stability, Q leads; the second structure lies 64 meV/atom higher.

=====

## P
Here is a geometry-optimized NdHoNiRh structure from Alexandria via LeMat-Bulk. Energies are from PBE.

Cell: 3.8813 4.1204 5.7353 Å, 90.00 109.78 90.00°
With the nearest neighbours (Å) after each atom.
Fractional coordinates of all 4 atoms:
Rh: 0.4186 0.0000 0.8371  2 Ni 2.66, 4 Ho 2.89, 1 Nd 2.97
Ho: 0.8628 0.5000 0.7256  4 Rh 2.89, 3 Ni 3.00-3.11
Ni: 0.5749 0.5000 0.1498  2 Rh 2.66, 4 Nd 2.93
Nd: 0.1438 0.0000 0.2875  4 Ni 2.93, 3 Rh 2.97-3.11

=====

## Q
Here is a geometry-optimized NdHoNiRh structure from Alexandria via LeMat-Bulk. Energies are from PBE.

Cell: 4.8972 4.8972 4.8972 Å, 60.00 60.00 60.00°
With the nearest neighbours (Å) after each atom.
Fractional coordinates of all 4 atoms:
Ni: 0.2500 0.2500 0.2500  4 Ho 3.00, 4 Nd 3.00
Rh: 0.7500 0.7500 0.7500  4 Nd 3.00, 4 Ho 3.00
Nd: 0.5000 0.5000 0.5000  4 Ni 3.00, 4 Rh 3.00
Ho: 0.0000 0.0000 0.0000  4 Rh 3.00, 4 Ni 3.00

=====

In terms of stability, P leads; the second structure lies 58 meV/atom higher.

=====

## P
Here is a geometry-optimized NdHoNiRu structure from Alexandria via LeMat-Bulk. Energies are from PBE.

Cell: 4.8705 4.8705 4.8705 Å, 60.00 60.00 60.00°
With the nearest neighbours (Å) after each atom.
Fractional coordinates of all 4 atoms:
Ho: 0.5000 0.5000 0.5000  4 Ni 2.98, 4 Ru 2.98
Ni: 0.2500 0.2500 0.2500  4 Nd 2.98, 4 Ho 2.98
Nd: 0.0000 0.0000 0.0000  4 Ru 2.98, 4 Ni 2.98
Ru: 0.7500 0.7500 0.7500  4 Nd 2.98, 4 Ho 2.98

=====

## Q
Here is a geometry-optimized NdHoNiRu structure from Alexandria via LeMat-Bulk. Energies are from PBE.

Cell: 4.0111 4.0330 5.7166 Å, 90.00 110.54 90.00°
With the nearest neighbours (Å) after each atom.
Fractional coordinates of all 4 atoms:
Ho: 0.1398 0.0000 0.2796  4 Ru 2.93, 3 Ni 2.98-3.15
Nd: 0.8536 0.5000 0.7071  4 Ni 2.97, 3 Ru 3.01-3.09
Ni: 0.4340 0.0000 0.8680  2 Ru 2.50
Ru: 0.5726 0.5000 0.1453  2 Ni 2.50

=====

In terms of stability, Q leads; the second structure lies 23 meV/atom higher.

=====

## P
Here is a geometry-optimized Nd2HoO structure from Alexandria via LeMat-Bulk. Energies are from PBE.

Cell: 3.6360 3.6360 9.5279 Å, 79.00 79.00 60.00°
With the nearest neighbours (Å) after each atom.
Fractional coordinates of all 4 atoms:
Nd: 0.1182 0.1182 0.6454  3 O 2.50
Ho: 0.0000 0.0000 0.0000  2 Nd 3.30, 6 Ho 3.64
O: 0.5000 0.5000 0.5000  6 Nd 2.50
Nd: 0.8818 0.8818 0.3546  3 O 2.50

=====

## Q
Here is a geometry-optimized Nd2HoO structure from Alexandria via LeMat-Bulk. Energies are from PBE.

Cell: 3.2583 3.2583 9.0788 Å, 90.00 90.00 90.00°
With the nearest neighbours (Å) after each atom.
Fractional coordinates of all 4 atoms:
Nd: 0.0000 0.0000 0.8281  4 O 2.78
O: 0.5000 0.5000 0.0000  8 Nd 2.78
Ho: 0.5000 0.5000 0.5000  4 Ho 3.26
Nd: 0.0000 0.0000 0.1719  4 O 2.78

=====

In terms of stability, P leads; the second structure lies 308 meV/atom higher.

=====

## P
Here is a geometry-optimized NdHoO2 structure from Alexandria via LeMat-Bulk. Energies are from PBE.

Cell: 3.5957 3.5957 7.0483 Å, 75.22 75.22 60.00°
With the nearest neighbours (Å) after each atom.
Fractional coordinates of all 4 atoms:
O: 0.8851 0.8851 0.3448  1 Nd 2.32, 3 Ho 2.32
Nd: 0.0000 0.0000 0.0000  2 O 2.32
O: 0.1149 0.1149 0.6552  1 Nd 2.32, 3 Ho 2.32
Ho: 0.5000 0.5000 0.5000  6 O 2.32

=====

## Q
Here is a geometry-optimized NdHoO2 structure from Alexandria via LeMat-Bulk. Energies are from PBE.

Cell: 3.4434 3.4434 6.3612 Å, 74.30 74.30 60.00°
With the nearest neighbours (Å) after each atom.
Fractional coordinates of all 4 atoms:
Ho: 0.6718 0.6718 0.9845  6 O 2.30-2.39
O: 0.2649 0.2649 0.2052  3 Ho 2.39
O: 0.0685 0.0685 0.7945  3 Ho 2.30
Nd: 0.4947 0.4947 0.5158  6 O 2.61-2.73

=====

In terms of stability, P leads; the second structure lies 127 meV/atom higher.

=====

## P
Here is a geometry-optimized Nd2HoOs structure from Alexandria via LeMat-Bulk. Energies are from PBE.

Cell: 3.5763 3.5763 11.1148 Å, 80.74 80.74 60.00°
With the nearest neighbours (Å) after each atom.
Fractional coordinates of all 4 atoms:
Os: 0.5000 0.5000 0.5000  6 Nd 2.88
Nd: 0.8944 0.8944 0.3168  3 Os 2.88
Nd: 0.1056 0.1056 0.6832  3 Os 2.88
Ho: 0.0000 0.0000 0.0000  2 Nd 3.46, 6 Ho 3.58

=====

## Q
Here is a geometry-optimized Nd2HoOs structure from Alexandria via LeMat-Bulk. Energies are from PBE.

Cell: 4.0914 6.3571 9.2404 Å, 90.00 90.00 108.79°
With the nearest neighbours (Å) after each atom.
Fractional coordinates of all 8 atoms:
Nd: 0.3583 0.7168 0.9329  3 Os 3.02-3.15, 1 Nd 3.38
Os: 0.2615 0.5235 0.2500  2 Ho 2.80, 4 Nd 3.02
Nd: 0.6417 0.2832 0.0671  3 Os 3.02-3.15, 1 Nd 3.38
Ho: 0.9200 0.8402 0.2500  2 Os 2.80
Os: 0.7385 0.4765 0.7500  2 Ho 2.80, 4 Nd 3.02
Nd: 0.6417 0.2832 0.4329  3 Os 3.02-3.15, 1 Nd 3.38
Ho: 0.0800 0.1598 0.7500  2 Os 2.80
Nd: 0.3583 0.7168 0.5671  3 Os 3.02-3.15, 1 Nd 3.38

=====

In terms of stability, Q leads; the second structure lies 534 meV/atom higher.